Record 1
VASP calculation (GGA-PBE) on an optimized crystal structure of TcPbBr2.

Lattice parameters (Å, degrees): 3.745 4.460 6.067 90.00 98.81 90.00
Space group P2/m (No. 10)
One atom of each set of equivalent atoms:
Tc: 0.000 0.000 0.000 x1
Pb: 0.500 0.000 0.500 x1
Br: 0.148 0.500 0.778 x2

Output
As for the crystal system: monoclinic. The value obtained for the magnetic moment is 2.577 Bohr magnetons per cell. The uncorrected formation energy comes out at 0.41 eV/atom. The value obtained for the energy above the most stable polymorph in this dataset is 0.391 eV/atom.

Record 2
VASP calculation (GGA-PBE) on an optimized crystal structure of Ac4AsPtS2.

Lattice parameters (Å, degrees): 7.657 4.371 7.731 90.00 109.17 90.00
Space group P2/m (No. 10)
One atom of each set of equivalent atoms:
Ac: 0.244 0.000 0.242 x2
Ac: 0.254 0.500 0.752 x2
As: 0.000 0.000 0.500 x1
Pt: 0.000 0.500 0.000 x1
S: 0.500 0.000 0.000 x1
S: 0.500 0.500 0.500 x1

Output
As for the crystal system: monoclinic. The value obtained for the magnetic moment is 0.000 Bohr magnetons per cell. The uncorrected formation energy comes out at -1.62 eV/atom.

Record 3
VASP calculation (GGA-PBE) on an optimized crystal structure of Pu4ThH10.

Lattice parameters (Å, degrees): 3.736 3.736 26.927 90.00 90.00 90.00
Space group I4/mmm (No. 139)
One atom of each set of equivalent atoms:
Pu: 0.000 0.000 0.102 x4
Pu: 0.000 0.000 0.299 x4
Th: 0.000 0.000 0.500 x2
H: 0.000 0.500 0.052 x8
H: 0.000 0.500 0.151 x8
H: 0.000 0.500 0.250 x4

Output
As for the crystal system: tetragonal. The value obtained for the magnetic moment is 0.227 Bohr magnetons per cell.

Record 4
VASP calculation (GGA-PBE) on an optimized crystal structure of Li2ZnRe.

Lattice parameters (Å, degrees): 3.610 3.610 8.780 90.00 90.00 90.00
Space group I4/mmm (No. 139)
One atom of each set of equivalent atoms:
Li: 0.000 0.500 0.250 x4
Zn: 0.000 0.000 0.000 x2
Re: 0.000 0.000 0.500 x2

Output
As for the crystal system: tetragonal. Its energy of formation is 43.3 kJ/mol of atoms. The value obtained for the magnetic moment is 1.332 Bohr magnetons per cell.

Record 5
VASP calculation (GGA-PBE) on an optimized crystal structure of ScIr2Os.

Lattice parameters (Å, degrees): 2.812 2.812 7.922 90.00 90.00 90.00
Space group P4mm (No. 99)
One atom of each set of equivalent atoms:
Sc: 0.000 0.000 0.000 x1
Ir: 0.000 0.000 0.501 x1
Ir: 0.500 0.500 0.255 x1
Os: 0.500 0.500 0.724 x1

Output
As for the crystal system: tetragonal. Its energy of formation is -18.5 kJ/mol of atoms. The value obtained for the magnetic moment is 0.000 Bohr magnetons per cell. The value obtained for the energy above the most stable polymorph in this dataset is 0.200 eV/atom.

Record 6
VASP calculation (GGA-PBE) on an optimized crystal structure of Ce2Cu2PdS6.

Lattice parameters (Å, degrees): 6.8578 6.8578 17.7866 90.00 90.00 120.00
Space group R-3m (No. 166, hexagonal axes)
One atom of each set of equivalent atoms:
Ce: 0.0000 0.0000 0.2080 x6
Cu: 0.0000 0.0000 0.4182 x6
Pd: 0.0000 0.0000 0.0000 x3
S: 0.0306 0.5153 0.7571 x18

Output
As for the crystal system: trigonal. The value obtained for the magnetic moment is 4.429 Bohr magnetons per cell. The uncorrected formation energy comes out at -0.76 eV/atom.

Record 7
VASP calculation (GGA-PBE) on an optimized crystal structure of Mg4Re.

Lattice parameters (Å, degrees): 6.677 6.677 4.161 90.00 90.00 90.00
Space group I4/m (No. 87)
One atom of each set of equivalent atoms:
Mg: 0.109 0.714 0.000 x8
Re: 0.000 0.000 0.500 x2

Output
As for the crystal system: tetragonal. Its energy of formation is 27.7 kJ/mol of atoms. The value obtained for the magnetic moment is 0.000 Bohr magnetons per cell. The value obtained for the energy above the most stable polymorph in this dataset is 0.000 eV/atom.

Record 8
VASP calculation (GGA-PBE) on an optimized crystal structure of Sn2Bi2Pd7Pt.

Lattice parameters (Å, degrees): 5.552 5.611 16.095 90.00 96.38 90.00
Space group C2/m (No. 12)
One atom of each set of equivalent atoms:
Sn: 0.131 0.000 0.418 x4
Bi: 0.076 0.500 0.245 x4
Pd: 0.000 0.500 0.000 x2
Pd: 0.126 0.500 0.421 x4
Pd: 0.210 0.250 0.873 x8
Pt: 0.000 0.000 0.000 x2

Output
As for the crystal system: monoclinic. Its energy of formation is -17.0 kJ/mol of atoms. The value obtained for the magnetic moment is 0.000 Bohr magnetons per cell.

no.,total DFT energy (no corrections) (eV per atom)
1,-3.95
2,-6.04
3,-6.94
4,-3.94
5,-9.01
6,-5.31
7,-3.48
8,-5.02